[1]
## Y3ErSc2CuS2 (PBE)

Data for Y3ErSc2CuS2 after structural relaxation.

a b c (Å): 3.8018 7.7151 7.7151
angles (deg): 120.67 90.00 90.00
Closest atoms and distances in Å follow each position.
Atoms (fractional coordinates):
Y (0.0000, 0.0000, 0.0000)  1 Cu 2.97, 4 S 3.05, 2 Er 3.27
Y (0.0000, 0.4028, 0.8182)  4 S 2.95-3.00, 2 Sc 3.20, 1 Cu 3.26
Y (0.0000, 0.8182, 0.4028)  4 S 2.95-3.00, 2 Sc 3.20, 1 Cu 3.26
Er (0.5000, 0.6520, 0.6520)  2 Cu 2.76, 2 S 3.00
Sc (0.5000, 0.1543, 0.4081)  2 Cu 2.68, 2 S 2.89-2.91
Sc (0.5000, 0.4081, 0.1543)  2 Cu 2.68, 2 S 2.89-2.91
Cu (0.0000, 0.3893, 0.3893)  4 Sc 2.68, 2 Er 2.76, 1 Y 2.97
S (0.5000, 0.0772, 0.7376)  2 Sc 2.89-2.91, 6 Y 2.95-3.05, 1 Er 3.00
S (0.5000, 0.7376, 0.0772)  2 Sc 2.89-2.91, 6 Y 2.95-3.05, 1 Er 3.00

=====

[2]
## SrErCuSe2S (PBE)

Data for SrErCuSe2S after structural relaxation.

a b c (Å): 7.0402 7.0402 10.2556
angles (deg): 90.00 90.00 146.70
Closest atoms and distances in Å follow each position.
Atoms (fractional coordinates):
Sr (0.2378, 0.7622, 0.7500)  2 S 3.03, 4 Se 3.22
Sr (0.7622, 0.2378, 0.2500)  2 S 3.03, 4 Se 3.22
Er (0.5000, 0.5000, 0.0000)  2 S 2.74, 4 Se 2.85
Er (0.5000, 0.5000, 0.5000)  2 S 2.74, 4 Se 2.85
Cu (0.0251, 0.9749, 0.2500)  2 S 2.40, 2 Se 2.47
Cu (0.9749, 0.0251, 0.7500)  2 S 2.40, 2 Se 2.47
Se (0.1413, 0.8587, 0.0634)  1 Cu 2.47
Se (0.1413, 0.8587, 0.4366)  1 Cu 2.47
Se (0.8587, 0.1413, 0.5634)  1 Cu 2.47
Se (0.8587, 0.1413, 0.9366)  1 Cu 2.47
S (0.4293, 0.5707, 0.2500)  2 Cu 2.40
S (0.5707, 0.4293, 0.7500)  2 Cu 2.40

=====

[3]
## SrErCuSeS2 (PBE)

Data for SrErCuSeS2 after structural relaxation.

a b c (Å): 6.9561 6.9561 10.4438
angles (deg): 90.00 90.00 146.95
Closest atoms and distances in Å follow each position.
Atoms (fractional coordinates):
Sr (0.2362, 0.7638, 0.7500)  4 S 3.07, 2 Se 3.09, 2 Cu 3.41
Sr (0.7638, 0.2362, 0.2500)  4 S 3.07, 2 Se 3.09, 2 Cu 3.41
Er (0.0000, 0.0000, 0.0000)  4 S 2.73, 2 Se 2.85
Er (0.0000, 0.0000, 0.5000)  4 S 2.73, 2 Se 2.85
Cu (0.4724, 0.5276, 0.2500)  2 S 2.32, 2 Se 2.49
Cu (0.5276, 0.4724, 0.7500)  2 S 2.32, 2 Se 2.49
Se (0.0857, 0.9143, 0.2500)  2 Cu 2.49
Se (0.9143, 0.0857, 0.7500)  2 Cu 2.49
S (0.3697, 0.6303, 0.0703)  1 Cu 2.32
S (0.3697, 0.6303, 0.4297)  1 Cu 2.32
S (0.6303, 0.3697, 0.5703)  1 Cu 2.32
S (0.6303, 0.3697, 0.9297)  1 Cu 2.32

=====

[4]
## Er3CuSiS7 (PBE)

Data for Er3CuSiS7 after structural relaxation.

a b c (Å): 9.8115 9.8115 5.6517
angles (deg): 90.00 90.00 120.00
Closest atoms and distances in Å follow each position.
Atoms (fractional coordinates):
Er (0.1276, 0.3568, 0.0000)  7 S 2.74-2.96
Er (0.2292, 0.8724, 0.0000)  7 S 2.74-2.96
Er (0.3568, 0.2292, 0.5000)  7 S 2.74-2.96
Er (0.6432, 0.7708, 0.0000)  7 S 2.74-2.96
Er (0.7708, 0.1276, 0.5000)  7 S 2.74-2.96
Er (0.8724, 0.6432, 0.5000)  7 S 2.74-2.96
Cu (0.0000, 0.0000, 0.0375)  3 S 2.23-2.24
Cu (0.0000, 0.0000, 0.5375)  3 S 2.23-2.24
Si (0.3333, 0.6667, 0.4118)  4 S 2.11-2.14
Si (0.6667, 0.3333, 0.9118)  4 S 2.11-2.14
S (0.0945, 0.2597, 0.5250)  1 Cu 2.24
S (0.1050, 0.5834, 0.2595)  1 Si 2.14
S (0.1652, 0.9055, 0.5250)  1 Cu 2.23
S (0.2597, 0.1652, 0.0250)  1 Cu 2.23
S (0.3333, 0.6667, 0.7851)  1 Si 2.11
S (0.4166, 0.5216, 0.2595)  1 Si 2.14
S (0.4784, 0.8950, 0.2595)  1 Si 2.14
S (0.5216, 0.1050, 0.7595)  1 Si 2.14
S (0.5834, 0.4784, 0.7595)  1 Si 2.14
S (0.6667, 0.3333, 0.2851)  1 Si 2.11
S (0.7403, 0.8348, 0.5250)  1 Cu 2.23
S (0.8348, 0.0945, 0.0250)  1 Cu 2.23
S (0.8950, 0.4166, 0.7595)  1 Si 2.14
S (0.9055, 0.7403, 0.0250)  1 Cu 2.24

=====

In eV/cell, the uncorrected energy values for the records above are, in order, -55.38 -61.42 -63.01 -139.44.